LaSmMg2Hg4 PBE-GGA optimized geometry; DOS(E_F) = 0.400 states/eV per atom; calculated total energy = -2.235 eV per atom; space group = No. 166; formation energy from the elements = -46 kJ/mol of atoms
1.0
2.596 1.499 8.500
-2.596 1.499 8.500
0.000 -2.998 8.500
La Sm Mg Hg
1 1 2 4
direct
0.000 0.000 0.000
0.500 0.500 0.500
0.249 0.249 0.249
0.751 0.751 0.751
0.127 0.127 0.127
0.377 0.377 0.377
0.623 0.623 0.623
0.873 0.873 0.873